# 1
# GGA-PBE Tb6Zn23, relaxed
data_Tb6Zn23
_symmetry_space_group_name_H-M 'F m -3 m'
_symmetry_Int_Tables_number 225
_symmetry_space_group_name_Hall '-F 4 2 3'
_cell_length_a 12.719
_cell_length_b 12.719
_cell_length_c 12.719
_cell_angle_alpha 90.00
_cell_angle_beta 90.00
_cell_angle_gamma 90.00
loop_
_atom_site_label
_atom_site_type_symbol
_atom_site_fract_x
_atom_site_fract_y
_atom_site_fract_z
Tb1 Tb 0.000 0.000 0.209
Zn1 Zn 0.000 0.000 0.500
Zn2 Zn 0.000 0.250 0.250
Zn3 Zn 0.123 0.123 0.377
Zn4 Zn 0.172 0.172 0.172
# DFT total energy   -2.276 eV/atom
# Calculated formation energy   -307.7 meV/atom
# Magnetic moment   0.000 μB per atom

=====

# 2
# GGA-PBE V5H6, relaxed
data_V5H6
_symmetry_space_group_name_H-M 'C 1 2/m 1'
_symmetry_Int_Tables_number 12
_cell_length_a 4.715
_cell_length_b 8.416
_cell_length_c 4.690
_cell_angle_alpha 90.00
_cell_angle_beta 111.25
_cell_angle_gamma 90.00
loop_
_symmetry_equiv_pos_as_xyz
'x,y,z'
'-x,-y,-z'
'-x,y,-z'
'x,-y,z'
'x+1/2,y+1/2,z'
'-x+1/2,-y+1/2,-z'
'-x+1/2,y+1/2,-z'
'x+1/2,-y+1/2,z'
loop_
_atom_site_label
_atom_site_type_symbol
_atom_site_fract_x
_atom_site_fract_y
_atom_site_fract_z
V1 V 0.000 0.000 0.000
V2 V 0.000 0.166 0.500
V3 V 0.000 0.332 0.000
H1 H 0.246 0.000 0.759
H2 H 0.249 0.167 0.250
# DFT total energy   -6.049 eV/atom
# ΔE to the lowest computed polymorph   46 meV/atom
# Magnetic moment   0.000 μB per atom

=====

# 3
# GGA-PBE AcNdAu2, relaxed
data_AcNdAu2
_symmetry_space_group_name_H-M 'R 3 m'
_symmetry_Int_Tables_number 160
_symmetry_space_group_name_Hall 'R 3 -2"'
_cell_length_a 4.3277
_cell_length_b 4.3277
_cell_length_c 23.1262
_cell_angle_alpha 90.00
_cell_angle_beta 90.00
_cell_angle_gamma 120.00
loop_
_atom_site_label
_atom_site_type_symbol
_atom_site_fract_x
_atom_site_fract_y
_atom_site_fract_z
Ac1 Ac 0.0000 0.0000 0.0000
Nd1 Nd 0.0000 0.0000 0.1712
Au1 Au 0.0000 0.0000 0.5809
Au2 Au 0.0000 0.0000 0.7574
# DFT total energy   -4.540 eV/atom
# Calculated formation energy   -682.5 meV/atom
# ΔE to the lowest computed polymorph   113 meV/atom
# Magnetic moment   0.000 μB per atom

=====

# 4
# GGA-PBE Ta2CoP, relaxed
data_Ta2CoP
_symmetry_space_group_name_H-M 'I 4/m m m'
_symmetry_Int_Tables_number 139
_symmetry_space_group_name_Hall '-I 4 2'
_cell_length_a 4.003
_cell_length_b 4.003
_cell_length_c 7.249
_cell_angle_alpha 90.00
_cell_angle_beta 90.00
_cell_angle_gamma 90.00
loop_
_atom_site_label
_atom_site_type_symbol
_atom_site_fract_x
_atom_site_fract_y
_atom_site_fract_z
Ta1 Ta 0.000 0.500 0.250
Co1 Co 0.000 0.000 0.000
P1 P 0.000 0.000 0.500
# DFT total energy   -9.258 eV/atom
# Calculated formation energy   -202.7 meV/atom
# Magnetic moment   0.136 μB per atom

=====

# 5
# GGA-PBE Nd3PaS6, relaxed
data_Nd3PaS6
_symmetry_space_group_name_H-M 'C 1 2/m 1'
_symmetry_Int_Tables_number 12
_cell_length_a 12.534
_cell_length_b 7.542
_cell_length_c 6.992
_cell_angle_alpha 90.00
_cell_angle_beta 123.61
_cell_angle_gamma 90.00
loop_
_symmetry_equiv_pos_as_xyz
'x,y,z'
'-x,-y,-z'
'-x,y,-z'
'x,-y,z'
'x+1/2,y+1/2,z'
'-x+1/2,-y+1/2,-z'
'-x+1/2,y+1/2,-z'
'x+1/2,-y+1/2,z'
loop_
_atom_site_label
_atom_site_type_symbol
_atom_site_fract_x
_atom_site_fract_y
_atom_site_fract_z
Nd1 Nd 0.000 0.000 0.000
Nd2 Nd 0.247 0.000 0.688
Pa1 Pa 0.000 0.500 0.500
S1 S 0.088 0.255 0.341
S2 S 0.241 0.500 0.899
# DFT total energy   -6.605 eV/atom
# Magnetic moment   0.141 μB per atom

=====

# 6
# GGA-PBE AgOsN2, relaxed
data_AgOsN2
_symmetry_space_group_name_H-M 'R -3 m'
_symmetry_Int_Tables_number 166
_symmetry_space_group_name_Hall '-R 3 2"'
_cell_length_a 2.9363
_cell_length_b 2.9363
_cell_length_c 19.9954
_cell_angle_alpha 90.00
_cell_angle_beta 90.00
_cell_angle_gamma 120.00
loop_
_atom_site_label
_atom_site_type_symbol
_atom_site_fract_x
_atom_site_fract_y
_atom_site_fract_z
Ag1 Ag 0.0000 0.0000 0.0000
Os1 Os 0.0000 0.0000 0.5000
N1 N 0.0000 0.0000 0.1075
# DFT total energy   -6.959 eV/atom
# ΔE to the lowest computed polymorph   59 meV/atom
# Magnetic moment   0.000 μB per atom

=====

# 7
# GGA-PBE LiMnRe2, relaxed
data_LiMnRe2
_symmetry_space_group_name_H-M 'C m m m'
_symmetry_Int_Tables_number 65
_symmetry_space_group_name_Hall '-C 2 2'
_cell_length_a 5.155
_cell_length_b 8.439
_cell_length_c 2.541
_cell_angle_alpha 90.00
_cell_angle_beta 90.00
_cell_angle_gamma 90.00
loop_
_atom_site_label
_atom_site_type_symbol
_atom_site_fract_x
_atom_site_fract_y
_atom_site_fract_z
Li1 Li 0.000 0.000 0.000
Mn1 Mn 0.000 0.500 0.000
Re1 Re 0.250 0.250 0.500
# DFT total energy   -8.679 eV/atom
# Calculated formation energy   316.4 meV/atom
# ΔE to the lowest computed polymorph   139 meV/atom
# Magnetic moment   0.646 μB per atom

=====

# 8
# GGA-PBE EuPuSi2, relaxed
data_EuPuSi2
_symmetry_space_group_name_H-M 'P 4/m m m'
_symmetry_Int_Tables_number 123
_symmetry_space_group_name_Hall '-P 4 2'
_cell_length_a 3.815
_cell_length_b 3.815
_cell_length_c 6.234
_cell_angle_alpha 90.00
_cell_angle_beta 90.00
_cell_angle_gamma 90.00
loop_
_atom_site_label
_atom_site_type_symbol
_atom_site_fract_x
_atom_site_fract_y
_atom_site_fract_z
Eu1 Eu 0.000 0.000 0.000
Pu1 Pu 0.000 0.000 0.500
Si1 Si 0.500 0.500 0.303
# DFT total energy   -9.169 eV/atom
# ΔE to the lowest computed polymorph   0 meV/atom
# Magnetic moment   0.385 μB per atom

=====

# 9
# GGA-PBE Pm2Dy2Y4Sc, relaxed
data_Pm2Dy2Y4Sc
_symmetry_space_group_name_H-M 'C 1 2/m 1'
_symmetry_Int_Tables_number 12
_cell_length_a 18.560
_cell_length_b 3.586
_cell_length_c 9.508
_cell_angle_alpha 90.00
_cell_angle_beta 115.58
_cell_angle_gamma 90.00
loop_
_symmetry_equiv_pos_as_xyz
'x,y,z'
'-x,-y,-z'
'-x,y,-z'
'x,-y,z'
'x+1/2,y+1/2,z'
'-x+1/2,-y+1/2,-z'
'-x+1/2,y+1/2,-z'
'x+1/2,-y+1/2,z'
loop_
_atom_site_label
_atom_site_type_symbol
_atom_site_fract_x
_atom_site_fract_y
_atom_site_fract_z
Pm1 Pm 0.163 0.000 0.497
Dy1 Dy 0.148 0.500 0.164
Y1 Y 0.019 0.000 0.830
Y2 Y 0.185 0.500 0.833
Sc1 Sc 0.000 0.500 0.500
# DFT total energy   -5.641 eV/atom
# Calculated formation energy   13.7 meV/atom
# Magnetic moment   0.000 μB per atom

=====

# 10
# GGA-PBE BaSrAl2, relaxed
data_BaSrAl2
_symmetry_space_group_name_H-M 'R -3 m'
_symmetry_Int_Tables_number 166
_symmetry_space_group_name_Hall '-R 3 2"'
_cell_length_a 4.0038
_cell_length_b 4.0038
_cell_length_c 31.4601
_cell_angle_alpha 90.00
_cell_angle_beta 90.00
_cell_angle_gamma 120.00
loop_
_atom_site_label
_atom_site_type_symbol
_atom_site_fract_x
_atom_site_fract_y
_atom_site_fract_z
Ba1 Ba 0.0000 0.0000 0.0000
Sr1 Sr 0.0000 0.0000 0.5000
Al1 Al 0.0000 0.0000 0.2471
# DFT total energy   -2.563 eV/atom
# Calculated formation energy   209.2 meV/atom
# ΔE to the lowest computed polymorph   403 meV/atom
# Magnetic moment   0.000 μB per atom

=====

# 11
# GGA-PBE CuAs2Ir, relaxed
data_CuAs2Ir
_symmetry_space_group_name_H-M 'C m m m'
_symmetry_Int_Tables_number 65
_symmetry_space_group_name_Hall '-C 2 2'
_cell_length_a 2.850
_cell_length_b 5.047
_cell_length_c 8.881
_cell_angle_alpha 90.00
_cell_angle_beta 90.00
_cell_angle_gamma 90.00
loop_
_atom_site_label
_atom_site_type_symbol
_atom_site_fract_x
_atom_site_fract_y
_atom_site_fract_z
Cu1 Cu 0.000 0.000 0.000
As1 As 0.000 0.500 0.252
Ir1 Ir 0.000 0.000 0.500
# DFT total energy   -5.234 eV/atom
# Calculated formation energy   329.6 meV/atom
# ΔE to the lowest computed polymorph   278 meV/atom
# Magnetic moment   0.000 μB per atom

=====

# 12
# GGA-PBE La3Pm3SmSe8, relaxed
data_La3Pm3SmSe8
_symmetry_space_group_name_H-M 'R -3 m'
_symmetry_Int_Tables_number 166
_symmetry_space_group_name_Hall '-R 3 2"'
_cell_length_a 8.4417
_cell_length_b 8.4417
_cell_length_c 20.9397
_cell_angle_alpha 90.00
_cell_angle_beta 90.00
_cell_angle_gamma 120.00
loop_
_atom_site_label
_atom_site_type_symbol
_atom_site_fract_x
_atom_site_fract_y
_atom_site_fract_z
La1 La 0.0000 0.5000 0.0000
Pm1 Pm 0.0000 0.5000 0.5000
Sm1 Sm 0.0000 0.0000 0.5000
Se1 Se 0.0000 0.0000 0.2476
Se2 Se 0.0017 0.5009 0.7521
# DFT total energy   -6.048 eV/atom
# Magnetic moment   0.000 μB per atom

=====

# 13
# GGA-PBE NpPa3N6, relaxed
data_NpPa3N6
_symmetry_space_group_name_H-M 'C m m m'
_symmetry_Int_Tables_number 65
_symmetry_space_group_name_Hall '-C 2 2'
_cell_length_a 7.761
_cell_length_b 11.080
_cell_length_c 3.654
_cell_angle_alpha 90.00
_cell_angle_beta 90.00
_cell_angle_gamma 90.00
loop_
_atom_site_label
_atom_site_type_symbol
_atom_site_fract_x
_atom_site_fract_y
_atom_site_fract_z
Np1 Np 0.000 0.000 0.000
Pa1 Pa 0.000 0.500 0.000
Pa2 Pa 0.250 0.250 0.500
N1 N 0.000 0.134 0.500
N2 N 0.211 0.371 0.000
# DFT total energy   -10.576 eV/atom
# ΔE to the lowest computed polymorph   70 meV/atom
# Magnetic moment   0.316 μB per atom

=====

# 14
# GGA-PBE SiH2Pb, relaxed
data_SiH2Pb
_symmetry_space_group_name_H-M 'I -4 2 d'
_symmetry_Int_Tables_number 122
_symmetry_space_group_name_Hall 'I -4 2bw'
_cell_length_a 5.521
_cell_length_b 5.521
_cell_length_c 7.766
_cell_angle_alpha 90.00
_cell_angle_beta 90.00
_cell_angle_gamma 90.00
loop_
_atom_site_label
_atom_site_type_symbol
_atom_site_fract_x
_atom_site_fract_y
_atom_site_fract_z
Si1 Si 0.000 0.000 0.000
H1 H 0.007 0.750 0.125
Pb1 Pb 0.000 0.000 0.500
# DFT total energy   -3.491 eV/atom
# ΔE to the lowest computed polymorph   0 meV/atom
# Magnetic moment   0.000 μB per atom

=====

# 15
# GGA-PBE ZnRuF6, relaxed
data_ZnRuF6
_symmetry_space_group_name_H-M 'P 3 1 2'
_symmetry_Int_Tables_number 149
_cell_length_a 4.9776
_cell_length_b 4.9776
_cell_length_c 4.7236
_cell_angle_alpha 90.00
_cell_angle_beta 90.00
_cell_angle_gamma 120.00
loop_
_symmetry_equiv_pos_as_xyz
'x,y,z'
'-y,x-y,z'
'-x+y,-x,z'
'-y,-x,-z'
'-x+y,y,-z'
'x,x-y,-z'
loop_
_atom_site_label
_atom_site_type_symbol
_atom_site_fract_x
_atom_site_fract_y
_atom_site_fract_z
Zn1 Zn 0.0000 0.0000 0.0000
Ru1 Ru 0.6667 0.3333 0.5000
F1 F 0.3463 0.0186 0.7443
# DFT total energy   -4.626 eV/atom
# Magnetic moment   0.250 μB per atom

=====

# 16
# GGA-PBE TaCo, relaxed
data_TaCo
_symmetry_space_group_name_H-M 'P -3 m 1'
_symmetry_Int_Tables_number 164
_symmetry_space_group_name_Hall '-P 3 2"'
_cell_length_a 2.8097
_cell_length_b 2.8097
_cell_length_c 8.7010
_cell_angle_alpha 90.00
_cell_angle_beta 90.00
_cell_angle_gamma 120.00
loop_
_atom_site_label
_atom_site_type_symbol
_atom_site_fract_x
_atom_site_fract_y
_atom_site_fract_z
Ta1 Ta 0.3333 0.6667 0.3498
Co1 Co 0.3333 0.6667 0.8949
# DFT total energy   -9.225 eV/atom
# Calculated formation energy   253.8 meV/atom
# Magnetic moment   0.526 μB per atom

=====

# 17
# GGA-PBE Pm6YHg2, relaxed
data_Pm6YHg2
_symmetry_space_group_name_H-M 'C 1 2/m 1'
_symmetry_Int_Tables_number 12
_cell_length_a 12.902
_cell_length_b 3.794
_cell_length_c 12.146
_cell_angle_alpha 90.00
_cell_angle_beta 108.98
_cell_angle_gamma 90.00
loop_
_symmetry_equiv_pos_as_xyz
'x,y,z'
'-x,-y,-z'
'-x,y,-z'
'x,-y,z'
'x+1/2,y+1/2,z'
'-x+1/2,-y+1/2,-z'
'-x+1/2,y+1/2,-z'
'x+1/2,-y+1/2,z'
loop_
_atom_site_label
_atom_site_type_symbol
_atom_site_fract_x
_atom_site_fract_y
_atom_site_fract_z
Pm1 Pm 0.021 0.000 0.336
Pm2 Pm 0.187 0.500 0.876
Pm3 Pm 0.190 0.500 0.589
Y1 Y 0.000 0.000 0.000
Hg1 Hg 0.139 0.500 0.197
# DFT total energy   -4.168 eV/atom
# Calculated formation energy   -215.8 meV/atom
# Magnetic moment   0.000 μB per atom

=====

# 18
# GGA-PBE ZrAsPt2Rh, relaxed
data_ZrAsPt2Rh
_symmetry_space_group_name_H-M 'P 4/m m m'
_symmetry_Int_Tables_number 123
_symmetry_space_group_name_Hall '-P 4 2'
_cell_length_a 4.660
_cell_length_b 4.660
_cell_length_c 4.543
_cell_angle_alpha 90.00
_cell_angle_beta 90.00
_cell_angle_gamma 90.00
loop_
_atom_site_label
_atom_site_type_symbol
_atom_site_fract_x
_atom_site_fract_y
_atom_site_fract_z
Zr1 Zr 0.000 0.000 0.000
As1 As 0.500 0.500 0.500
Pt1 Pt 0.000 0.500 0.500
Rh1 Rh 0.500 0.500 0.000
# DFT total energy   -6.452 eV/atom
# Calculated formation energy   74.1 meV/atom
# Magnetic moment   0.000 μB per atom

=====

# 19
# GGA-PBE La7Sm2Dy, relaxed
data_La7Sm2Dy
_symmetry_space_group_name_H-M 'P 1 2/m 1'
_symmetry_Int_Tables_number 10
_cell_length_a 9.027
_cell_length_b 3.520
_cell_length_c 12.016
_cell_angle_alpha 90.00
_cell_angle_beta 111.52
_cell_angle_gamma 90.00
loop_
_symmetry_equiv_pos_as_xyz
'x,y,z'
'-x,-y,-z'
'-x,y,-z'
'x,-y,z'
loop_
_atom_site_label
_atom_site_type_symbol
_atom_site_fract_x
_atom_site_fract_y
_atom_site_fract_z
La1 La 0.000 0.000 0.000
La2 La 0.191 0.000 0.306
La3 La 0.223 0.000 0.808
La4 La 0.393 0.500 0.113
Sm1 Sm 0.396 0.000 0.601
Dy1 Dy 0.000 0.500 0.500
# DFT total energy   -4.722 eV/atom
# Calculated formation energy   131.4 meV/atom
# ΔE to the lowest computed polymorph   0 meV/atom
# Magnetic moment   0.000 μB per atom

=====

# 20
# GGA-PBE Mo3WCl, relaxed
data_Mo3WCl
_symmetry_space_group_name_H-M 'P m -3 m'
_symmetry_Int_Tables_number 221
_symmetry_space_group_name_Hall '-P 4 2 3'
_cell_length_a 4.372
_cell_length_b 4.372
_cell_length_c 4.372
_cell_angle_alpha 90.00
_cell_angle_beta 90.00
_cell_angle_gamma 90.00
loop_
_atom_site_label
_atom_site_type_symbol
_atom_site_fract_x
_atom_site_fract_y
_atom_site_fract_z
Mo1 Mo 0.000 0.000 0.500
W1 W 0.500 0.500 0.500
Cl1 Cl 0.000 0.000 0.000
# DFT total energy   -8.246 eV/atom
# ΔE to the lowest computed polymorph   0 meV/atom
# Magnetic moment   0.000 μB per atom

=====

# 21
# GGA-PBE Tm3GaTe, relaxed
data_Tm3GaTe
_symmetry_space_group_name_H-M 'P 1 21/c 1'
_symmetry_Int_Tables_number 14
_cell_length_a 9.429
_cell_length_b 5.918
_cell_length_c 9.662
_cell_angle_alpha 90.00
_cell_angle_beta 104.24
_cell_angle_gamma 90.00
loop_
_symmetry_equiv_pos_as_xyz
'x,y,z'
'-x,-y,-z'
'-x,y+1/2,-z+1/2'
'x,-y+1/2,z+1/2'
loop_
_atom_site_label
_atom_site_type_symbol
_atom_site_fract_x
_atom_site_fract_y
_atom_site_fract_z
Tm1 Tm 0.001 0.002 0.325
Tm2 Tm 0.179 0.529 0.545
Tm3 Tm 0.443 0.234 0.862
Ga1 Ga 0.317 0.746 0.827
Te1 Te 0.283 0.043 0.568
# DFT total energy   -4.536 eV/atom
# Magnetic moment   0.061 μB per atom